No. 1
Material: Ba2Al2Au
Method: DFT, PBE
State: relaxed

The calculation puts the energy at -3.115 eV per atom. The calculation puts the density of states at the Fermi level at 12.8 states/eV per cell. Its formation energy is -0.97 eV/f.u.

abc: 7.116 7.116 5.625
angles: 90.00 90.00 90.00
Space group P4/mbm (No. 127)
Unique sites:
Ba: 0.177 0.323 0.000 (multiplicity 4)
Al: 0.135 0.635 0.500 (multiplicity 4)
Au: 0.000 0.000 0.500 (multiplicity 2)



No. 2
Material: Ba3Al2Au4
Method: DFT, PBE
State: relaxed

The calculation puts the energy at -3.565 eV per atom. The calculation puts the density of states at the Fermi level at 10.0 states/eV per cell. Its formation energy is -5.73 eV/f.u.

abc: 12.548 4.702 9.472
angles: 90.00 112.74 90.00
Space group C2/m (No. 12)
Unique sites:
Ba: 0.000 0.000 0.000 (multiplicity 2)
Ba: 0.118 0.500 0.693 (multiplicity 4)
Al: 0.178 0.500 0.340 (multiplicity 4)
Au: 0.126 0.000 0.412 (multiplicity 4)
Au: 0.218 0.500 0.083 (multiplicity 4)



What is the energy in the second record?
-3.565 eV per atom



What did the second record say?
Material: Ba3Al2Au4
Method: DFT, PBE
State: relaxed

The calculation puts the energy at -3.565 eV per atom. The calculation puts the density of states at the Fermi level at 10.0 states/eV per cell. Its formation energy is -5.73 eV/f.u.

abc: 12.548 4.702 9.472
angles: 90.00 112.74 90.00
Space group C2/m (No. 12)
Unique sites:
Ba: 0.000 0.000 0.000 (multiplicity 2)
Ba: 0.118 0.500 0.693 (multiplicity 4)
Al: 0.178 0.500 0.340 (multiplicity 4)
Au: 0.126 0.000 0.412 (multiplicity 4)
Au: 0.218 0.500 0.083 (multiplicity 4)



Among the records above, which one has the highest energy?
Ba2Al2Au